1.
VASP calculation (PBE) on a relaxed structure of Pr6ClO8.

final energy = -7.782 eV/atom
calculated volume = 17.2 A^3/atom
size of the total moment = 1.0 μB per formula unit
E_form (uncorrected) = -3103 meV per atom

Unit cell a=6.8902 b=6.8902 c=7.4408 alpha=62.42 beta=62.42 gamma=60.00
Last column: nearest neighbours and their distance in Å.
Atoms (fractional coordinates):
O 0.3343 0.3343 0.9972  6 Pr 2.73-2.82
O 0.8074 0.1125 0.6471  4 Pr 2.33-2.41
O 0.6657 0.6657 0.0028  6 Pr 2.73-2.82
O 0.5670 0.1926 0.3529  4 Pr 2.33-2.41
O 0.1926 0.8875 0.3529  4 Pr 2.33-2.41
O 0.8875 0.5670 0.3529  4 Pr 2.33-2.41
O 0.1125 0.4330 0.6471  4 Pr 2.33-2.41
O 0.4330 0.8074 0.6471  4 Pr 2.33-2.41
Cl 0.0000 0.0000 0.0000  6 Pr 2.99, 6 O 3.09
Pr 0.9033 0.2745 0.2659  4 O 2.33-2.41
Pr 0.4437 0.0967 0.7341  4 O 2.33-2.41
Pr 0.5563 0.9033 0.2659  4 O 2.33-2.41
Pr 0.0967 0.7255 0.7341  4 O 2.33-2.41
Pr 0.7255 0.4437 0.7341  4 O 2.33-2.41
Pr 0.2745 0.5563 0.2659  4 O 2.33-2.41

=====

2.
VASP calculation (PBE) on a relaxed structure of YEr2Tm2Th.

final energy = -5.325 eV/atom
calculated volume = 31.0 A^3/atom
size of the total moment = 0.0 μB per formula unit

Unit cell a=7.0986 b=10.0959 c=6.1617 alpha=120.61 beta=90.02 gamma=100.11
Last column: nearest neighbours and their distance in Å.
Atoms (fractional coordinates):
Er 0.6274 0.5019 0.2519  3 Tm 3.47-3.52, 4 Er 3.50-3.57, 4 Th 3.51-3.59, 1 Y 3.51
Er 0.2915 0.1671 0.8089  6 Tm 3.49-3.58, 2 Er 3.50-3.51, 1 Th 3.50, 3 Y 3.51-3.57
Er 0.7085 0.8329 0.1911  6 Tm 3.49-3.58, 2 Er 3.50-3.51, 1 Th 3.50, 3 Y 3.51-3.57
Er 0.3726 0.4981 0.7481  3 Tm 3.47-3.52, 4 Er 3.50-3.57, 4 Th 3.51-3.59, 1 Y 3.51
Y 0.7939 0.1673 0.8052  2 Th 3.47-3.50, 6 Tm 3.51-3.57, 4 Er 3.51-3.57
Y 0.2061 0.8327 0.1948  2 Th 3.47-3.50, 6 Tm 3.51-3.57, 4 Er 3.51-3.57
Th 0.1212 0.4993 0.2510  3 Tm 3.46-3.52, 2 Y 3.47-3.50, 5 Er 3.50-3.59, 2 Th 3.51-3.55
Th 0.8788 0.5007 0.7490  3 Tm 3.46-3.52, 2 Y 3.47-3.50, 5 Er 3.50-3.59, 2 Th 3.51-3.55
Tm 0.9594 0.8305 0.6937  2 Th 3.46-3.47, 4 Er 3.47-3.58, 3 Y 3.53-3.55, 3 Tm 3.53-3.57
Tm 0.0406 0.1695 0.3063  2 Th 3.46-3.47, 4 Er 3.47-3.58, 3 Y 3.53-3.55, 3 Tm 3.53-3.57
Tm 0.4574 0.8344 0.6948  5 Er 3.49-3.57, 3 Tm 3.49-3.57, 3 Y 3.51-3.57, 1 Th 3.52
Tm 0.5426 0.1656 0.3052  5 Er 3.49-3.57, 3 Tm 3.49-3.57, 3 Y 3.51-3.57, 1 Th 3.52

=====

3.
VASP calculation (PBE) on a relaxed structure of ZnOs.

final energy = -5.949 eV/atom
calculated volume = 14.2 A^3/atom
size of the total moment = 0.0 μB per formula unit

Unit cell a=4.0403 b=4.4967 c=4.0403 alpha=63.30 beta=90.00 gamma=116.70
Last column: nearest neighbours and their distance in Å.
Atoms (fractional coordinates):
Os 0.7500 0.5000 0.7500  8 Zn 2.66-2.86, 4 Os 2.66
Os 0.0000 0.0000 0.0000  4 Os 2.66, 8 Zn 2.66-2.86
Zn 0.5000 0.0000 0.5000  4 Zn 2.66, 8 Os 2.66-2.86
Zn 0.2500 0.5000 0.2500  4 Zn 2.66, 8 Os 2.66-2.86

=====

4.
VASP calculation (PBE) on a relaxed structure of Ba2HgN.

energy relative to the lowest polymorph listed for this composition = 8.44 kJ/mol of atoms
final energy = -3.437 eV/atom
calculated volume = 35.3 A^3/atom
size of the total moment = 0.0 μB per formula unit
E_form (uncorrected) = -318 meV per atom

Unit cell a=3.9978 b=3.9978 c=10.4527 alpha=78.98 beta=78.98 gamma=60.00
Last column: nearest neighbours and their distance in Å.
Atoms (fractional coordinates):
Ba 0.8827 0.8827 0.3520  3 N 2.76
Ba 0.1173 0.1173 0.6480  3 N 2.76
N 0.5000 0.5000 0.5000  6 Ba 2.76
Hg 0.0000 0.0000 0.0000  2 Ba 3.59, 6 Hg 4.00

=====

5.
VASP calculation (PBE) on a relaxed structure of Y2NpTl3S6.

final energy = -6.133 eV/atom
calculated volume = 26.8 A^3/atom
size of the total moment = 4.0 μB per formula unit
E_form (uncorrected) = -1321 meV per atom

Unit cell a=7.0247 b=7.0247 c=7.8706 alpha=98.56 beta=98.56 gamma=120.00
Last column: nearest neighbours and their distance in Å.
Atoms (fractional coordinates):
S 0.9341 0.5989 0.8022  2 Y 2.77, 1 Np 2.78
S 0.5989 0.9341 0.8022  2 Y 2.77, 1 Np 2.78
S 0.2692 0.2692 0.8023  2 Y 2.77, 1 Np 2.78
S 0.7308 0.7308 0.1977  2 Y 2.77, 1 Np 2.78
S 0.4011 0.0659 0.1978  2 Y 2.77, 1 Np 2.78
S 0.0659 0.4011 0.1978  2 Y 2.77, 1 Np 2.78
Tl 0.1667 0.8333 0.5000  6 S 3.25-3.27
Tl 0.8333 0.1667 0.5000  6 S 3.25-3.27
Tl 0.5000 0.5000 0.5000  6 S 3.25-3.27
Y 0.6667 0.3333 0.0000  6 S 2.77
Y 0.3333 0.6667 0.0000  6 S 2.77
Np 0.0000 0.0000 0.0000  6 S 2.78